This record from Alexandria via LeMat-Bulk describes a relaxed structure of La2Pt7. The functional is PBE.

Properties
As for the energy of formation: -0.91 eV per atom. For the total moment, the calculation gives 0.0 μB/f.u. The calculation puts the final energy at -6.700 eV per atom.

abc: 13.796 13.796 13.796
angles: 22.96 22.96 22.96
Fractional coordinates of all 18 atoms:
La: 0.050 0.050 0.050
La: 0.147 0.147 0.147
La: 0.853 0.853 0.853
La: 0.950 0.950 0.950
Pt: 0.000 0.500 0.500
Pt: 0.108 0.613 0.613
Pt: 0.278 0.278 0.278
Pt: 0.387 0.387 0.892
Pt: 0.387 0.892 0.387
Pt: 0.388 0.388 0.388
Pt: 0.500 0.000 0.500
Pt: 0.500 0.500 0.000
Pt: 0.500 0.500 0.500
Pt: 0.612 0.612 0.612
Pt: 0.613 0.108 0.613
Pt: 0.613 0.613 0.108
Pt: 0.722 0.722 0.722
Pt: 0.892 0.387 0.387

This record from Alexandria via LeMat-Bulk describes a relaxed structure of LaPt2. The functional is PBE.

Properties
As for the energy of formation: -1.01 eV per atom. For the total moment, the calculation gives 0.0 μB/f.u. The calculation puts the final energy at -6.682 eV per atom.

abc: 4.515 4.515 3.942
angles: 90.00 90.00 120.00
Fractional coordinates of all 3 atoms:
La: 0.000 0.000 0.000
Pt: 0.333 0.667 0.500
Pt: 0.667 0.333 0.500

This record from Alexandria via LeMat-Bulk describes a relaxed structure of LaPt. The functional is PBE.

Properties
As for the energy of formation: -0.53 eV per atom. For the total moment, the calculation gives 0.0 μB/f.u. The calculation puts the final energy at -6.009 eV per atom.

abc: 7.581 7.581 7.581
angles: 109.47 109.47 109.47
Fractional coordinates of all 8 atoms:
La: 0.000 0.000 0.614
La: 0.000 0.614 0.000
La: 0.386 0.386 0.386
La: 0.614 0.000 0.000
Pt: 0.000 0.000 0.243
Pt: 0.000 0.243 0.000
Pt: 0.243 0.000 0.000
Pt: 0.757 0.757 0.757

This record from Alexandria via LeMat-Bulk describes a relaxed structure of La3Pt. The functional is PBE.

Properties
As for the energy of formation: -0.52 eV per atom. For the total moment, the calculation gives 0.0 μB/f.u. The calculation puts the final energy at -5.721 eV per atom.

abc: 10.055 10.055 10.055
angles: 23.19 23.19 23.19
Fractional coordinates of all 4 atoms:
La: 0.000 0.000 0.000
La: 0.227 0.227 0.227
La: 0.773 0.773 0.773
Pt: 0.500 0.500 0.500

This record from Alexandria via LeMat-Bulk describes a relaxed structure of La3Pt2. The functional is PBE.

Properties
As for the energy of formation: -0.88 eV per atom. For the total moment, the calculation gives 0.0 μB/f.u. The calculation puts the final energy at -6.255 eV per atom.

abc: 9.070 7.645 11.313
angles: 52.97 42.30 84.73
Fractional coordinates of all 10 atoms:
La: 0.000 0.000 0.000
La: 0.250 0.250 0.250
La: 0.303 0.681 0.352
La: 0.587 0.898 0.569
La: 0.681 0.303 0.663
La: 0.898 0.587 0.947
Pt: 0.075 0.920 0.262
Pt: 0.507 0.988 0.330
Pt: 0.920 0.075 0.743
Pt: 0.988 0.507 0.175

This record from Alexandria via LeMat-Bulk describes a relaxed structure of La5Pt3. The functional is PBE.

Properties
As for the energy of formation: -0.75 eV per atom. For the total moment, the calculation gives 0.0 μB/f.u. The calculation puts the final energy at -6.097 eV per atom.

abc: 7.064 7.064 4.813
angles: 90.00 90.00 112.19
Fractional coordinates of all 8 atoms:
La: 0.000 0.000 0.000
La: 0.000 0.500 0.000
La: 0.292 0.292 0.500
La: 0.500 0.000 0.000
La: 0.708 0.708 0.500
Pt: 0.180 0.820 0.500
Pt: 0.500 0.500 0.000
Pt: 0.820 0.180 0.500

This record from Alexandria via LeMat-Bulk describes a relaxed structure of LaPt2. The functional is PBE.

Properties
As for the energy of formation: -0.37 eV per atom. For the total moment, the calculation gives 0.0 μB/f.u. The calculation puts the final energy at -6.039 eV per atom.

abc: 6.832 6.832 6.832
angles: 90.00 90.00 90.00
Fractional coordinates of all 12 atoms:
La: 0.000 0.000 0.000
La: 0.000 0.500 0.500
La: 0.500 0.000 0.500
La: 0.500 0.500 0.000
Pt: 0.108 0.608 0.892
Pt: 0.108 0.892 0.392
Pt: 0.392 0.108 0.892
Pt: 0.392 0.392 0.392
Pt: 0.608 0.608 0.608
Pt: 0.608 0.892 0.108
Pt: 0.892 0.108 0.608
Pt: 0.892 0.392 0.108

This record from Alexandria via LeMat-Bulk describes a relaxed structure of LaPt5. The functional is PBE.

Properties
As for the energy of formation: -0.78 eV per atom. For the total moment, the calculation gives 0.0 μB/f.u. The calculation puts the final energy at -6.634 eV per atom.

abc: 5.462 5.462 4.424
angles: 90.00 90.00 120.00
Fractional coordinates of all 6 atoms:
La: 0.000 0.000 0.000
Pt: 0.000 0.500 0.500
Pt: 0.333 0.667 0.000
Pt: 0.500 0.000 0.500
Pt: 0.500 0.500 0.500
Pt: 0.667 0.333 0.000